(1)
Crystalline Tb5Hg4Pt at its relaxed geometry, computed with GGA-PBE.

a b c (Å): 3.6714 3.6714 18.6312
angles (deg): 90.00 90.00 90.00
Positions (direct):
Tb: 0.5000 0.5000 0.9122
Tb: 0.5000 0.5000 0.5000
Tb: 0.5000 0.5000 0.2939
Tb: 0.5000 0.5000 0.7061
Tb: 0.5000 0.5000 0.0878
Hg: 0.0000 0.0000 0.6027
Hg: 0.0000 0.0000 0.3973
Hg: 0.0000 0.0000 0.8047
Hg: 0.0000 0.0000 0.1953
Pt: 0.0000 0.0000 0.0000

Output
Formation enthalpy at 0 K in eV/atom: -0.629
Crystal system: tetragonal

(2)
Crystalline PaCuSn2N at its relaxed geometry, computed with GGA-PBE.

a b c (Å): 3.8126 3.8126 15.1058
angles (deg): 90.00 90.00 90.00
Positions (direct):
Sn: 0.0000 0.5000 0.0729
Sn: 0.5000 0.0000 0.9271
Sn: 0.0000 0.5000 0.7186
Sn: 0.5000 0.0000 0.2814
Pa: 0.5000 0.0000 0.5801
Pa: 0.0000 0.5000 0.4199
Cu: 0.5000 0.0000 0.1102
Cu: 0.0000 0.5000 0.8898
N: 0.0000 0.0000 0.5000
N: 0.5000 0.5000 0.5000

Output
E_form (uncorrected) in eV/atom: -0.560
Crystal system: tetragonal

Going through the records in order, we get magnetization values of 0.138; 0.000 μB per formula unit.
Going through the records in order, we get DOS(E_F) values of 8.41; 2.64 states/eV/f.u..